Entry from the Alexandria database: a relaxed HfTaPt3 crystal (PBE).

The final energy is -37.112 eV/cell. For the polymorph energy (0 for the lowest one), the calculation gives 1079 meV per atom. The calculation puts the volume at 22.45 A^3/atom. As for the energy of formation: 0.5632 eV per atom. As for the magnetic moment: 0.0000 μB per atom.

The structure belongs to space group Pm-3m (No. 221); the cell edges are 4.8241, 4.8241 and 4.8241 Å and the angles 90.00°, 90.00° and 90.00°. Symmetry generates all atoms from Hf at (0.0000, 0.0000, 0.0000), Ta at (0.5000, 0.5000, 0.5000) and Pt at (0.0000, 0.5000, 0.5000).